A plane-wave DFT calculation with PBE was carried out for a relaxed structure of GdDyAg2Pb2.

```
data_GdDyAg2Pb2
_chemical_formula_sum 'Gd1 Dy1 Ag2 Pb2'
_cell_length_a 4.8159
_cell_length_b 4.8159
_cell_length_c 7.4650
_cell_angle_alpha 90.00
_cell_angle_beta 90.00
_cell_angle_gamma 120.00
_symmetry_space_group_name_H-M 'P 3 m 1'
_symmetry_Int_Tables_number 156
loop_
_symmetry_equiv_pos_as_xyz
'x,y,z'
'-y,x-y,z'
'-x+y,-x,z'
'-y,-x,z'
'-x+y,y,z'
'x,x-y,z'
loop_
_atom_site_label
_atom_site_fract_x
_atom_site_fract_y
_atom_site_fract_z
_atom_site_occupancy
Gd1 0.0000 0.0000 0.0000 1
Dy1 0.0000 0.0000 0.5007 1
Ag1 0.3333 0.6667 0.6851 1
Ag2 0.6667 0.3333 0.1885 1
Pb1 0.3333 0.6667 0.2811 1
Pb2 0.6667 0.3333 0.7787 1
```

---

A plane-wave DFT calculation with PBE was carried out for a relaxed structure of Nd2SmAs3.

```
data_Nd2SmAs3
_chemical_formula_sum 'Nd2 Sm1 As3'
_cell_length_a 4.2525
_cell_length_b 4.2525
_cell_length_c 10.4030
_cell_angle_alpha 90.00
_cell_angle_beta 90.00
_cell_angle_gamma 120.00
_symmetry_space_group_name_H-M 'P -3 m 1'
_symmetry_Int_Tables_number 164
_symmetry_space_group_name_Hall '-P 3 2"'
loop_
_atom_site_label
_atom_site_fract_x
_atom_site_fract_y
_atom_site_fract_z
_atom_site_occupancy
Nd1 0.3333 0.6667 0.3320 1
Sm1 0.0000 0.0000 0.0000 1
As1 0.0000 0.0000 0.5000 1
As2 0.3333 0.6667 0.8363 1
```

---

Number 1: electronic total energy -4.1401 eV per atom, total moment 0.0 μB per formula unit, volume 149.9 Å³ per cell. Number 2: electronic total energy -6.2176 eV per atom, total moment 0.0 μB per formula unit, volume 162.9 Å³ per cell.